VASP calculation (GGA-PBE) on LiMnPt after structural relaxation.

Geometry as POSCAR:
```
LiMnPt
1.0
-1.5864 1.5864 4.2587
1.5864 -1.5864 4.2587
1.5864 1.5864 -4.2587
Li Mn Pt
1 1 1
direct
0.0000 0.0000 0.0000
0.6770 0.6770 0.0000
0.3413 0.3413 0.0000
```

Output
Energy of formation (meV/atom): -247
Electronic total energy (eV per atom): -5.96
Total magnetic moment (μB/f.u.): 4.15
V (Å³/cell): 42.9
DOS(E_F) (states/eV/atom): 0.41

***

VASP calculation (GGA-PBE) on LiMnPt after structural relaxation.

Geometry as POSCAR:
```
LiMnPt
1.0
2.6596 0.0000 0.0000
0.0000 3.8434 0.0000
0.0000 0.0000 7.4572
Li Mn Pt
2 2 2
direct
0.0000 0.0000 0.0000
0.5000 0.5000 0.5000
0.0000 0.0000 0.3659
0.0000 0.0000 0.6341
0.5000 0.5000 0.1864
0.5000 0.5000 0.8136
```

Output
Energy of formation (meV/atom): -83
Electronic total energy (eV per atom): -5.79
Total magnetic moment (μB/f.u.): 0.00
V (Å³/cell): 76.2
DOS(E_F) (states/eV/atom): 0.96

***

VASP calculation (GGA-PBE) on LiMn3Pt after structural relaxation.

Geometry as POSCAR:
```
LiMn3Pt
1.0
4.1806 0.0000 0.0000
0.0000 4.1806 0.0000
0.0000 0.0000 4.1806
Li Mn Pt
1 3 1
direct
0.0000 0.0000 0.0000
0.0000 0.0000 0.5000
0.0000 0.5000 0.0000
0.5000 0.0000 0.0000
0.5000 0.5000 0.5000
```

Output
Energy of formation (meV/atom): 859
Electronic total energy (eV per atom): -6.23
Total magnetic moment (μB/f.u.): 11.40
V (Å³/cell): 73.1
DOS(E_F) (states/eV/atom): 1.64

***

VASP calculation (GGA-PBE) on LiMnPt after structural relaxation.

Geometry as POSCAR:
```
LiMnPt
1.0
5.8538 -1.3991 0.0000
5.8538 1.3991 0.0000
-1.2019 0.0000 5.2564
Li Mn Pt
2 2 2
direct
0.0000 0.0000 0.0000
0.6729 0.6729 0.3149
0.9996 0.9996 0.5111
0.3317 0.3317 0.6757
0.3421 0.3421 0.1866
0.6623 0.6623 0.8143
```

Output
Energy of formation (meV/atom): -246
Electronic total energy (eV per atom): -5.95
Total magnetic moment (μB/f.u.): 3.73
V (Å³/cell): 86.1
DOS(E_F) (states/eV/atom): 0.64

***

VASP calculation (GGA-PBE) on LiMn2Pt6 after structural relaxation.

Geometry as POSCAR:
```
LiMn2Pt6
1.0
7.3959 0.0000 0.0000
-3.6980 6.4051 0.0000
0.0000 0.0000 2.8037
Li Mn Pt
1 2 6
direct
0.0000 0.0000 0.0000
0.3333 0.6667 0.5000
0.6667 0.3333 0.5000
0.0000 0.3654 0.0000
0.0000 0.7058 0.5000
0.2942 0.2942 0.5000
0.3654 0.0000 0.0000
0.6346 0.6346 0.0000
0.7058 0.0000 0.5000
```

Output
Energy of formation (meV/atom): -287
Electronic total energy (eV per atom): -6.56
Total magnetic moment (μB/f.u.): 8.35
V (Å³/cell): 132.8
DOS(E_F) (states/eV/atom): 1.24

***

VASP calculation (GGA-PBE) on LiMnPt after structural relaxation.

Geometry as POSCAR:
```
LiMnPt
1.0
4.4778 0.0000 0.0000
-2.2389 3.8779 0.0000
0.0000 0.0000 5.2846
Li Mn Pt
2 2 2
direct
0.0000 0.0000 0.0000
0.0000 0.0000 0.5000
0.3333 0.6667 0.2500
0.6667 0.3333 0.7500
0.3333 0.6667 0.7500
0.6667 0.3333 0.2500
```

Output
Energy of formation (meV/atom): -269
Electronic total energy (eV per atom): -5.98
Total magnetic moment (μB/f.u.): 4.21
V (Å³/cell): 91.8
DOS(E_F) (states/eV/atom): 0.49

***

VASP calculation (GGA-PBE) on LiMnPt6 after structural relaxation.

Geometry as POSCAR:
```
LiMnPt6
1.0
5.5414 0.0000 0.0000
0.0000 5.5414 0.0000
0.0000 0.0000 3.8778
Li Mn Pt
1 1 6
direct
0.0000 0.0000 0.0000
0.5000 0.5000 0.0000
0.0000 0.5000 0.0000
0.2494 0.2494 0.5000
0.2494 0.7506 0.5000
0.5000 0.0000 0.0000
0.7506 0.2494 0.5000
0.7506 0.7506 0.5000
```

Output
Energy of formation (meV/atom): -391
Electronic total energy (eV per atom): -6.31
Total magnetic moment (μB/f.u.): 4.16
V (Å³/cell): 119.1
DOS(E_F) (states/eV/atom): 0.76

***

VASP calculation (GGA-PBE) on Li2MnPt after structural relaxation.

Geometry as POSCAR:
```
Li2MnPt
1.0
3.2469 0.0000 0.0000
0.0000 3.2469 0.0000
0.0000 0.0000 5.8294
Li Mn Pt
2 1 1
direct
0.0000 0.0000 0.0000
0.5000 0.5000 0.2515
0.0000 0.0000 0.5413
0.5000 0.5000 0.7619
```

Output
Energy of formation (meV/atom): -169
Electronic total energy (eV per atom): -4.93
Total magnetic moment (μB/f.u.): 4.38
V (Å³/cell): 61.5
DOS(E_F) (states/eV/atom): 0.31

***

VASP calculation (GGA-PBE) on LiMnPt3 after structural relaxation.

Geometry as POSCAR:
```
LiMnPt3
1.0
4.5914 0.0000 0.0000
0.0000 4.5914 0.0000
0.0000 0.0000 4.5914
Li Mn Pt
1 1 3
direct
0.0000 0.0000 0.0000
0.5000 0.5000 0.5000
0.0000 0.5000 0.5000
0.5000 0.0000 0.5000
0.5000 0.5000 0.0000
```

Output
Energy of formation (meV/atom): 621
Electronic total energy (eV per atom): -5.22
Total magnetic moment (μB/f.u.): 0.00
V (Å³/cell): 96.8
DOS(E_F) (states/eV/atom): 1.31

***

VASP calculation (GGA-PBE) on LiMn4Pt5 after structural relaxation.

Geometry as POSCAR:
```
LiMn4Pt5
1.0
3.2047 0.0000 0.0000
0.0000 3.2047 0.0000
0.0000 0.0000 14.3483
Li Mn Pt
1 4 5
direct
0.0000 0.0000 0.0000
0.0000 0.0000 0.1961
0.0000 0.0000 0.3962
0.0000 0.0000 0.6038
0.0000 0.0000 0.8039
0.5000 0.5000 0.0964
0.5000 0.5000 0.2981
0.5000 0.5000 0.5000
0.5000 0.5000 0.7019
0.5000 0.5000 0.9036
```

Output
Energy of formation (meV/atom): -412
Electronic total energy (eV per atom): -7.29
Total magnetic moment (μB/f.u.): 0.02
V (Å³/cell): 147.4
DOS(E_F) (states/eV/atom): 0.54

***

VASP calculation (GGA-PBE) on Li2MnPt2 after structural relaxation.

Geometry as POSCAR:
```
Li2MnPt2
1.0
4.2982 0.0000 0.0000
2.1302 3.7666 0.0000
2.1083 1.1696 4.2621
Li Mn Pt
2 1 2
direct
0.0896 0.0907 0.2313
0.9104 0.9093 0.7687
0.5000 0.5000 0.0000
0.2850 0.2855 0.6443
0.7150 0.7145 0.3557
```

Output
Energy of formation (meV/atom): -342
Electronic total energy (eV per atom): -5.36
Total magnetic moment (μB/f.u.): 4.39
V (Å³/cell): 69.0
DOS(E_F) (states/eV/atom): 0.35

***

VASP calculation (GGA-PBE) on Li2MnPt after structural relaxation.

Geometry as POSCAR:
```
Li2MnPt
1.0
2.6034 -4.5432 0.0000
2.6034 4.5432 0.0000
-1.3171 0.0000 2.4293
Li Mn Pt
2 1 1
direct
0.0000 0.5000 0.0000
0.5000 0.0000 0.0000
0.0000 0.0000 0.5000
0.5000 0.5000 0.5000
```

Output
Energy of formation (meV/atom): -207
Electronic total energy (eV per atom): -4.97
Total magnetic moment (μB/f.u.): 3.53
V (Å³/cell): 57.5
DOS(E_F) (states/eV/atom): 0.57